Record 1
35
Lattice="-6.8029 3.3705 8.9254 -5.9654 -7.9854 6.1603 3.1492 -2.4504 11.0172" Properties=species:S:1:pos:R:3 comment="Rb8Zr6BBr20, single point on PBEsol structure, DFT meta-GGA SCAN" formation_energy_uncorrected_mev_per_atom=-1753.9 vol_a3_per_atom=32.50 crystal_system=cubic final_energy_ev_per_atom=-23.089 pbc="T T T"
Rb -7.2637 -0.6663 14.3905
Rb -2.3554 -6.3990 11.7124
Rb -6.7964 -7.0029 12.8476
Rb -1.7104 -3.9144 15.5578
Rb -2.8227 -0.0624 13.2554
Rb -7.9087 -3.1509 10.5452
Rb -3.4677 -2.5470 9.4101
Rb -6.1514 -4.5183 16.6929
Zr -6.2477 1.4480 10.0745
Zr -3.3713 -8.5133 16.0285
Zr -3.9756 -0.3200 18.0235
Zr -5.6435 -6.7453 8.0794
Zr -10.5519 -4.3135 14.5192
Zr 0.9328 -2.7518 11.5838
B 0.0000 0.0000 0.0000
Br -4.5998 2.2789 6.0349
Br -2.2031 1.0915 2.8905
Br -3.0137 -6.1929 7.7332
Br 0.1974 -4.2429 9.4443
Br -3.5799 1.4854 9.6028
Br -1.9319 -2.5860 1.9950
Br -0.0738 -0.5653 10.3398
Br -4.0335 -5.3993 4.1653
Br -6.5317 -0.3071 8.0299
Br -6.2366 -4.3078 7.0558
Br 1.0199 -0.7936 3.5679
Br 2.1293 -1.6568 7.4493
Br -5.5590 -0.9370 11.5000
Br -4.0600 -6.1283 14.6029
Br -4.3749 -1.8584 15.6426
Br -5.2442 -5.2069 10.4603
Br -7.8021 -3.9396 13.8164
Br -1.8170 -3.1257 12.2866
Br -2.4048 -1.7663 6.5257
Br -7.2143 -5.2990 19.5772


Record 2
5
Lattice="4.9786 0.0000 0.0000 0.0000 4.9786 0.0000 0.0000 0.0000 5.5801" Properties=species:S:1:pos:R:3 comment="Re2BSbBr, single point on PBEsol structure, DFT meta-GGA SCAN" formation_energy_uncorrected_mev_per_atom=3073.2 vol_a3_per_atom=27.66 crystal_system=tetragonal final_energy_ev_per_atom=-38.196 pbc="T T T"
Re 0.0000 2.4893 0.0000
Re 2.4893 0.0000 0.0000
B 2.4893 2.4893 2.7900
Br 0.0000 0.0000 2.7900
Sb 0.0000 0.0000 0.0000


Record 3
8
Lattice="-3.6233 -0.1700 -4.1199 4.0211 -1.3594 -3.4803 -1.0295 -4.0735 4.7303" Properties=species:S:1:pos:R:3 comment="BRhBr2, single point on PBEsol structure, DFT meta-GGA SCAN" formation_energy_uncorrected_mev_per_atom=1175.0 vol_a3_per_atom=18.82 crystal_system=tetragonal final_energy_ev_per_atom=-18.855 pbc="T T T"
B -2.2269 -2.5041 -1.5948
B 0.1989 -0.7647 -3.8001
Rh 1.5953 -3.0989 -1.2751
Rh 0.0000 0.0000 0.0000
Br 1.7535 -2.2786 -3.5769
Br -1.7710 -1.6700 -3.5582
Br -0.5572 -3.3022 2.4547
Br -0.6887 -3.9552 -1.0595


Record 4
4
Lattice="-0.7554 2.9320 2.6482 -3.7766 0.7155 1.1855 -1.1401 -0.9184 3.7465" Properties=species:S:1:pos:R:3 comment="B2RhBr, single point on PBEsol structure, DFT meta-GGA SCAN" formation_energy_uncorrected_mev_per_atom=2000.2 vol_a3_per_atom=11.51 crystal_system=cubic final_energy_ev_per_atom=-15.022 pbc="T T T"
B -1.4180 0.6823 1.8951
B -4.2540 2.0468 5.6852
Rh -2.8360 1.3645 3.7901
Br 0.0000 0.0000 0.0000


Record 5
4
Lattice="4.1837 0.0000 0.0000 2.0918 3.6232 0.0000 2.0918 1.2077 3.4160" Properties=species:S:1:pos:R:3 comment="BRh2Br, single point on PBEsol structure, DFT meta-GGA SCAN" formation_energy_uncorrected_mev_per_atom=994.9 vol_a3_per_atom=12.94 crystal_system=cubic final_energy_ev_per_atom=-22.613 pbc="T T T"
B 0.0000 0.0000 0.0000
Rh 2.0918 1.2077 0.8540
Rh 6.2755 3.6232 2.5620
Br 4.1837 2.4154 1.7080


Record 6
5
Lattice="4.1828 0.0000 0.0000 0.0000 4.9319 0.0000 0.0000 0.0000 4.9319" Properties=species:S:1:pos:R:3 comment="BSbRh2Br, single point on PBEsol structure, DFT meta-GGA SCAN" formation_energy_uncorrected_mev_per_atom=1364.4 vol_a3_per_atom=20.35 crystal_system=tetragonal final_energy_ev_per_atom=-24.974 pbc="T T T"
Sb 0.0000 0.0000 0.0000
B 2.0914 0.0000 0.0000
Rh 0.0000 0.0000 2.4660
Rh 0.0000 2.4660 0.0000
Br 2.0914 2.4660 2.4660